# Pm4NdTl

Crystalline Pm4NdTl at its relaxed geometry (PBE, Alexandria via LeMat-Bulk).

The value obtained for the raw total energy is -4.412 eV/atom. The calculation puts the calculated volume at 33.0 A^3/atom. The magnetization is 0.0 μB/cell. The value obtained for the energy relative to the elements is -0.333 eV/f.u.

The space group is P2_1/m (No. 11) and the conventional cell measures 6.6291, 6.8199 and 8.9310 Å, with angles of 90.00, 100.88 and 90.00 degrees. The inequivalent atoms are Pm at (0.0797, 0.2500, 0.3324), Pm at (0.1766, 0.2500, 0.9375), Pm at (0.4194, 0.5020, 0.6742), Nd at (0.3073, 0.7500, 0.0036) and Tl at (0.1494, 0.7500, 0.3708).